This record from Alexandria via LeMat-Bulk describes a geometry-optimized Rb2AlPb2 structure. The functional is PBE-GGA.

POSCAR file:
```
Rb2AlPb2
1.0
-2.4927 2.4927 8.1016
2.4927 -2.4927 8.1016
2.4927 2.4927 -8.1016
Rb Al Pb
2 1 2
direct
0.2500 0.7500 0.5000
0.7500 0.2500 0.5000
0.0000 0.0000 0.0000
0.4137 0.4137 0.0000
0.5863 0.5863 0.0000
```

Magnetic moment = 0.00 μB per cell
Energy of formation = 0.446 eV per atom
Distance to the lowest polymorph of the same formula = 10.0 kJ per mole of atoms
Uncorrected energy = -10.9 eV/f.u.